1.
La3Se3N after structural relaxation. Source: Alexandria via LeMat-Bulk, functional PBE. Values from VASP.

Cell and atoms, written as Quantum ESPRESSO input:
```
&SYSTEM
  ibrav = 0, nat = 14, ntyp = 3
/
ATOMIC_SPECIES
N 14.01 N.upf
La 138.91 La.upf
Se 78.96 Se.upf
ATOMIC_POSITIONS crystal
N 0.821 0.821 0.853
La 0.455 0.158 0.275
Se 0.166 0.834 0.500
Se 0.242 0.758 0.000
La 0.103 0.103 0.818
Se 0.392 0.392 0.652
La 0.897 0.897 0.182
La 0.545 0.842 0.725
La 0.158 0.455 0.275
Se 0.608 0.608 0.348
Se 0.834 0.166 0.500
N 0.179 0.179 0.147
La 0.842 0.545 0.725
Se 0.758 0.242 0.000
CELL_PARAMETERS angstrom
7.565 0.232 -0.044
-3.162 6.877 -0.044
-0.703 -1.134 7.358
```

Properties
- Raw formation energy: -1897 meV per atom

***

2.
Ce3GeSb2 after structural relaxation. Source: Alexandria via LeMat-Bulk, functional PBE. Values from VASP.

Cell and atoms, written as Quantum ESPRESSO input:
```
&SYSTEM
  ibrav = 0, nat = 12, ntyp = 3
/
ATOMIC_SPECIES
Ce 140.12 Ce.upf
Sb 121.76 Sb.upf
Ge 72.64 Ge.upf
ATOMIC_POSITIONS crystal
Ce 0.067 0.401 0.235
Sb 0.833 0.167 0.500
Ge 0.001 0.999 0.000
Ce 0.910 0.587 0.761
Ge 0.666 0.334 0.000
Sb 0.172 0.828 0.500
Sb 0.495 0.505 0.500
Ce 0.413 0.090 0.239
Sb 0.333 0.667 0.000
Ce 0.599 0.933 0.765
Ce 0.757 0.746 0.239
Ce 0.254 0.243 0.761
CELL_PARAMETERS angstrom
-4.087 -2.756 -5.821
6.180 -3.752 2.434
-4.786 -1.553 5.765
```

Properties
- Raw formation energy: -911 meV per atom

***

3.
K4SbPt after structural relaxation. Source: Alexandria via LeMat-Bulk, functional PBE. Values from VASP.

Cell and atoms, written as Quantum ESPRESSO input:
```
&SYSTEM
  ibrav = 0, nat = 6, ntyp = 3
/
ATOMIC_SPECIES
K 39.10 K.upf
Pt 195.08 Pt.upf
Sb 121.76 Sb.upf
ATOMIC_POSITIONS crystal
K 0.376 0.873 0.376
K 0.873 0.376 0.376
Pt 0.750 0.750 0.750
K 0.376 0.376 0.376
Sb 0.000 0.000 0.000
K 0.376 0.376 0.873
CELL_PARAMETERS angstrom
-3.267 -3.488 4.358
0.527 1.378 6.297
-4.990 2.630 3.163
```

Properties
- Raw formation energy: 384 meV per atom

***

4.
NaH2Au2 after structural relaxation. Source: Alexandria via LeMat-Bulk, functional PBE. Values from VASP.

Cell and atoms, written as Quantum ESPRESSO input:
```
&SYSTEM
  ibrav = 0, nat = 10, ntyp = 3
/
ATOMIC_SPECIES
Na 22.99 Na.upf
Au 196.97 Au.upf
H 1.01 H.upf
ATOMIC_POSITIONS crystal
Na 0.500 0.500 0.000
Au 0.363 0.137 0.500
Na 0.000 0.000 0.000
H 0.255 0.245 0.000
H 0.755 0.255 0.000
Au 0.863 0.363 0.500
H 0.745 0.755 0.000
Au 0.137 0.637 0.500
Au 0.637 0.863 0.500
H 0.245 0.745 0.000
CELL_PARAMETERS angstrom
7.294 0.000 0.000
0.000 7.294 0.000
0.000 0.000 2.802
```

Properties
- DFT total energy: -28.488 eV for the cell shown

***

5.
PtSeN2F after structural relaxation. Source: Alexandria via LeMat-Bulk, functional PBE. Values from VASP.

Cell and atoms, written as Quantum ESPRESSO input:
```
&SYSTEM
  ibrav = 0, nat = 5, ntyp = 4
/
ATOMIC_SPECIES
N 14.01 N.upf
F 19.00 F.upf
Se 78.96 Se.upf
Pt 195.08 Pt.upf
ATOMIC_POSITIONS crystal
N 0.500 0.000 0.000
N 0.000 0.500 0.000
F 0.000 0.000 0.500
Se 0.500 0.500 0.500
Pt 0.000 0.000 0.000
CELL_PARAMETERS angstrom
3.950 0.000 0.000
0.000 3.950 0.000
0.000 0.000 4.245
```

Properties
- Raw formation energy: 1144 meV per atom

***

6.
AgC5 after structural relaxation. Source: Alexandria via LeMat-Bulk, functional PBE. Values from VASP.

Cell and atoms, written as Quantum ESPRESSO input:
```
&SYSTEM
  ibrav = 0, nat = 6, ntyp = 2
/
ATOMIC_SPECIES
C 12.01 C.upf
Ag 107.87 Ag.upf
ATOMIC_POSITIONS crystal
C 0.634 0.634 0.589
C 0.030 0.030 0.590
C 0.426 0.426 0.217
Ag 0.992 0.992 0.935
C 0.849 0.849 0.523
C 0.902 0.902 0.312
CELL_PARAMETERS angstrom
-1.473 -2.334 -2.523
-0.127 -0.598 -3.689
5.450 -4.974 -1.112
```

Properties
- Formation enthalpy at 0 K: 0.87 eV per atom

***

7.
PrSm4Th after structural relaxation. Source: Alexandria via LeMat-Bulk, functional PBE. Values from VASP.

Cell and atoms, written as Quantum ESPRESSO input:
```
&SYSTEM
  ibrav = 0, nat = 12, ntyp = 3
/
ATOMIC_SPECIES
Sm 150.36 Sm.upf
Pr 140.91 Pr.upf
Th 232.04 Th.upf
ATOMIC_POSITIONS crystal
Sm 0.336 0.664 0.437
Sm 0.660 0.830 0.750
Sm 0.336 0.664 0.063
Sm 0.664 0.336 0.563
Pr 0.829 0.171 0.250
Sm 0.170 0.340 0.750
Th 0.000 0.000 0.500
Th 0.000 0.000 0.000
Sm 0.340 0.170 0.250
Pr 0.171 0.829 0.750
Sm 0.830 0.660 0.250
Sm 0.664 0.336 0.937
CELL_PARAMETERS angstrom
-5.122 3.811 1.602
3.401 -3.163 4.664
6.742 8.660 0.956
```

Properties
- Formation enthalpy at 0 K: 0.25 eV per atom

***

8.
CaSi2BRu2 after structural relaxation. Source: Alexandria via LeMat-Bulk, functional PBE. Values from VASP.

Cell and atoms, written as Quantum ESPRESSO input:
```
&SYSTEM
  ibrav = 0, nat = 6, ntyp = 4
/
ATOMIC_SPECIES
B 10.81 B.upf
Ca 40.08 Ca.upf
Ru 101.07 Ru.upf
Si 28.09 Si.upf
ATOMIC_POSITIONS crystal
B 0.000 0.000 0.000
Ca 0.000 0.000 0.500
Ru 0.000 0.500 0.000
Si 0.500 0.500 0.274
Si 0.500 0.500 0.726
Ru 0.500 0.000 0.000
CELL_PARAMETERS angstrom
4.136 0.000 0.000
0.000 4.136 0.000
0.000 0.000 5.335
```

Properties
- Raw formation energy: -541 meV per atom

***

9.
TaFe2Ag after structural relaxation. Source: Alexandria via LeMat-Bulk, functional PBE. Values from VASP.

Cell and atoms, written as Quantum ESPRESSO input:
```
&SYSTEM
  ibrav = 0, nat = 4, ntyp = 3
/
ATOMIC_SPECIES
Fe 55.84 Fe.upf
Ag 107.87 Ag.upf
Ta 180.95 Ta.upf
ATOMIC_POSITIONS crystal
Fe 0.750 0.750 0.750
Ag 0.000 0.000 0.000
Ta 0.500 0.500 0.500
Fe 0.250 0.250 0.250
CELL_PARAMETERS angstrom
0.000 3.073 3.073
3.073 0.000 3.073
3.073 3.073 0.000
```

Properties
- Formation enthalpy at 0 K: 0.30 eV per atom

***

10.
Zr2FeCl after structural relaxation. Source: Alexandria via LeMat-Bulk, functional PBE. Values from VASP.

Cell and atoms, written as Quantum ESPRESSO input:
```
&SYSTEM
  ibrav = 0, nat = 4, ntyp = 3
/
ATOMIC_SPECIES
Cl 35.45 Cl.upf
Fe 55.84 Fe.upf
Zr 91.22 Zr.upf
ATOMIC_POSITIONS crystal
Cl 0.500 0.500 0.500
Fe 0.750 0.750 0.750
Zr 0.250 0.250 0.250
Zr 0.000 0.000 0.000
CELL_PARAMETERS angstrom
-2.888 3.746 -0.230
-3.438 0.143 -3.254
-4.529 -0.417 1.320
```

Properties
- Raw formation energy: 649 meV per atom

***

11.
K2CeAg2S4 after structural relaxation. Source: Alexandria via LeMat-Bulk, functional PBE. Values from VASP.

Cell and atoms, written as Quantum ESPRESSO input:
```
&SYSTEM
  ibrav = 0, nat = 9, ntyp = 4
/
ATOMIC_SPECIES
S 32.06 S.upf
Ag 107.87 Ag.upf
K 39.10 K.upf
Ce 140.12 Ce.upf
ATOMIC_POSITIONS crystal
S 0.194 0.194 0.388
S 0.806 0.806 0.612
Ag 0.322 0.017 0.643
Ag 0.678 0.983 0.357
S 0.491 0.237 0.983
K 0.137 0.567 0.273
K 0.863 0.433 0.727
Ce 0.000 0.000 0.000
S 0.509 0.763 0.017
CELL_PARAMETERS angstrom
4.161 0.000 0.000
0.000 7.695 0.223
-2.081 -2.850 6.964
```

Properties
- Raw formation energy: -1115 meV per atom

***

12.
ZnMoSe2 after structural relaxation. Source: Alexandria via LeMat-Bulk, functional PBE. Values from VASP.

Cell and atoms, written as Quantum ESPRESSO input:
```
&SYSTEM
  ibrav = 0, nat = 4, ntyp = 3
/
ATOMIC_SPECIES
Se 78.96 Se.upf
Zn 65.41 Zn.upf
Mo 95.94 Mo.upf
ATOMIC_POSITIONS crystal
Se 0.500 0.500 0.355
Zn 0.000 0.000 0.504
Se 0.000 0.000 0.908
Mo 0.500 0.500 0.733
CELL_PARAMETERS angstrom
3.331 0.002 0.000
-0.002 3.331 0.000
0.000 0.000 7.039
```

Properties
- Raw formation energy: -52 meV per atom

***

Volume: 387.5 363.6 191.3 149.1 66.2 63.5 411.2 91.2 58.0 75.1 225.6 78.1 (Å³ per cell)